No. 1
ZnCu2Au | GGA-PBEsol | optimized geometry

Raw total energy = -14.16 eV per cell
SG = R3m, No. 160
Energy of formation = 0.003 eV/atom

Lattice parameters (Å, degrees): 2.746 2.746 8.498 80.70 80.70 60.00
Fractional positions:
Au  0.252  0.252  0.245
Cu  0.006  0.006  0.983
Cu  0.749  0.749  0.754
Zn  0.494  0.494  0.518

No. 2
ScReTe2N | GGA-PBEsol | optimized geometry

Raw total energy = -35.70 eV per cell
SG = P4/mmm, No. 123

Lattice parameters (Å, degrees): 3.723 5.384 5.384 90.00 90.00 90.00
Fractional positions:
Sc  0.500  0.500  0.500
Re  0.000  0.000  0.000
Te  0.000  0.000  0.500
Te  0.000  0.500  0.000
N  0.500  0.000  0.000

No. 3
Ag2Ge2I | GGA-PBEsol | optimized geometry

Raw total energy = -16.80 eV per cell
SG = I4/mmm, No. 139

Lattice parameters (Å, degrees): 4.385 4.385 6.415 109.98 109.98 90.00
Fractional positions:
I  0.000  0.000  0.000
Ge  0.384  0.384  0.769
Ge  0.616  0.616  0.231
Ag  0.250  0.750  0.500
Ag  0.750  0.250  0.500

No. 4
FePRu2 | GGA-PBEsol | optimized geometry

Raw total energy = -34.24 eV per cell
SG = Cmmm, No. 65
Energy of formation = 0.215 eV/atom

Lattice parameters (Å, degrees): 2.732 2.732 7.842 90.00 90.00 116.99
Fractional positions:
Fe  0.500  0.500  0.500
P  0.500  0.500  0.000
Ru  0.000  0.000  0.227
Ru  0.000  0.000  0.773

Question: Which of these has the lowest raw total energy?
Answer: ScReTe2N

Question: What is the formula in the second record?
Answer: ScReTe2N

Question: Look up the raw total energy of the fourth one.
Answer: -34.24 eV per cell